Sr2HfZrBi: single point on PBEsol structure, meta-GGA SCAN.

The formation energy is 867 meV/atom. The mass density is 5.42 Mg/m³.

The space group is P4/mmm (No. 123) and the conventional cell measures 6.038, 6.038 and 5.497 Å, with angles of 90.00, 90.00 and 90.00 degrees. The inequivalent atoms are Sr at (0.000, 0.500, 0.000), Hf at (0.000, 0.000, 0.500), Zr at (0.500, 0.500, 0.500) and Bi at (0.500, 0.500, 0.000).

HfTaBi3: single point on PBEsol structure, meta-GGA SCAN.

The formation energy is 1349 meV/atom. The mass density is 10.02 Mg/m³.

The space group is Pm-3m (No. 221) and the conventional cell measures 5.468, 5.468 and 5.468 Å, with angles of 90.00, 90.00 and 90.00 degrees. The inequivalent atoms are Hf at (0.000, 0.000, 0.000), Ta at (0.500, 0.500, 0.500) and Bi at (0.000, 0.000, 0.500).

HfTaBi2: single point on PBEsol structure, meta-GGA SCAN.

The formation energy is 1140 meV/atom. The mass density is 9.55 Mg/m³.

The space group is I-42d (No. 122) and the conventional cell measures 6.279, 6.279 and 13.707 Å, with angles of 90.00, 90.00 and 90.00 degrees. The inequivalent atoms are Hf at (0.000, 0.000, 0.000), Ta at (0.000, 0.000, 0.500) and Bi at (0.238, 0.250, 0.625).